No. 1
A geometry-optimized TeP2Ru2 structure. Source: Alexandria via LeMat-Bulk, functional PBEsol.

Calculated values
The raw formation energy comes out at -0.24 eV/atom. Its space-group type is No. 139.

Lattice parameters (Å, degrees): 6.6809 6.6809 6.6809 148.26 148.26 45.50
Closest atoms and distances in Å follow each position.
Atoms (fractional coordinates):
Te  0.0000  0.0000  0.0000  8 Ru 3.09
P  0.2500  0.7500  0.5000  4 Ru 2.29
P  0.7500  0.2500  0.5000  4 Ru 2.29
Ru  0.3620  0.3620  0.0000  4 P 2.29
Ru  0.6380  0.6380  0.0000  4 P 2.29

No. 2
A geometry-optimized Y2PdPt2 structure. Source: Alexandria via LeMat-Bulk, functional PBEsol.

Calculated values
Its formation energy is -1.020 eV/atom. Its space-group type is No. 127.

Lattice parameters (Å, degrees): 7.4048 7.4048 3.6657 90.00 90.00 90.00
Closest atoms and distances in Å follow each position.
Atoms (fractional coordinates):
Y  0.1727  0.3273  0.0000  6 Pt 2.75-2.92
Y  0.3273  0.8273  0.0000  6 Pt 2.75-2.92
Y  0.6727  0.1727  0.0000  6 Pt 2.75-2.92
Y  0.8273  0.6727  0.0000  6 Pt 2.75-2.92
Pd  0.0000  0.0000  0.5000  4 Pt 2.90
Pd  0.5000  0.5000  0.5000  4 Pt 2.90
Pt  0.1310  0.6310  0.5000  1 Pt 2.74, 6 Y 2.75-2.92, 2 Pd 2.90
Pt  0.3690  0.1310  0.5000  1 Pt 2.74, 6 Y 2.75-2.92, 2 Pd 2.90
Pt  0.6310  0.8690  0.5000  1 Pt 2.74, 6 Y 2.75-2.92, 2 Pd 2.90
Pt  0.8690  0.3690  0.5000  1 Pt 2.74, 6 Y 2.75-2.92, 2 Pd 2.90

No. 3
A geometry-optimized Al2ZnCl2 structure. Source: Alexandria via LeMat-Bulk, functional PBEsol.

Calculated values
The raw formation energy comes out at -0.04 eV/atom. Its space-group type is No. 127.

Lattice parameters (Å, degrees): 8.6465 8.6465 3.1732 90.00 90.00 90.00
Closest atoms and distances in Å follow each position.
Atoms (fractional coordinates):
Al  0.2270  0.2730  0.0000  2 Cl 2.39
Al  0.2730  0.7730  0.0000  2 Cl 2.39
Al  0.7270  0.2270  0.0000  2 Cl 2.39
Al  0.7730  0.7270  0.0000  2 Cl 2.39
Zn  0.0000  0.0000  0.5000  2 Zn 3.17, 4 Cl 3.41, 8 Al 3.46
Zn  0.5000  0.5000  0.5000  2 Zn 3.17, 4 Cl 3.41, 8 Al 3.46
Cl  0.1267  0.6267  0.5000  2 Al 2.39
Cl  0.3733  0.1267  0.5000  2 Al 2.39
Cl  0.6267  0.8733  0.5000  2 Al 2.39
Cl  0.8733  0.3733  0.5000  2 Al 2.39

No. 4
A geometry-optimized TiMn2VAs4 structure. Source: Alexandria via LeMat-Bulk, functional PBEsol.

Calculated values
Its formation energy is -0.406 eV/atom. Its space-group type is No. 10.

Lattice parameters (Å, degrees): 5.7532 3.5357 6.2634 90.00 90.12 90.00
Closest atoms and distances in Å follow each position.
Atoms (fractional coordinates):
Ti  0.0000  0.0000  0.0000  6 As 2.54-2.56
Mn  0.0000  0.5000  0.5000  6 As 2.51-2.53
Mn  0.5000  0.0000  0.0000  6 As 2.50-2.53
V  0.5000  0.5000  0.5000  6 As 2.47-2.50
As  0.2515  0.0000  0.6665  2 V 2.50, 3 Mn 2.51-2.53, 1 Ti 2.54
As  0.2595  0.5000  0.1734  1 V 2.47, 3 Mn 2.50-2.53, 2 Ti 2.56
As  0.7405  0.5000  0.8266  1 V 2.47, 3 Mn 2.50-2.53, 2 Ti 2.56
As  0.7485  0.0000  0.3335  2 V 2.50, 3 Mn 2.51-2.53, 1 Ti 2.54

No. 5
A geometry-optimized ReRuCl structure. Source: Alexandria via LeMat-Bulk, functional PBEsol.

Calculated values
The raw formation energy comes out at 0.41 eV/atom. Its space-group type is No. 107.

Lattice parameters (Å, degrees): 5.7831 5.7831 5.7831 151.35 151.35 40.96
Closest atoms and distances in Å follow each position.
Atoms (fractional coordinates):
Re  0.0000  0.0000  0.0000  4 Ru 2.54, 4 Cl 2.73
Ru  0.6411  0.6411  0.0000  4 Re 2.54
Cl  0.3314  0.3314  0.0000  4 Re 2.73, 4 Cl 2.86, 4 Ru 2.89

No. 6
A geometry-optimized BaLi2Sb2 structure. Source: Alexandria via LeMat-Bulk, functional PBEsol.

Calculated values
The raw formation energy comes out at -0.80 eV/atom. Its space-group type is No. 139.

Lattice parameters (Å, degrees): 6.6982 6.6982 6.6982 138.37 138.37 60.34
Closest atoms and distances in Å follow each position.
Atoms (fractional coordinates):
Ba  0.0000  0.0000  0.0000  8 Sb 3.66, 8 Li 3.75
Li  0.2500  0.7500  0.5000  4 Sb 2.79
Li  0.7500  0.2500  0.5000  4 Sb 2.79
Sb  0.3758  0.3758  0.0000  4 Li 2.79, 1 Sb 2.88
Sb  0.6242  0.6242  0.0000  4 Li 2.79, 1 Sb 2.88

No. 7
A geometry-optimized PPbN2O structure. Source: Alexandria via LeMat-Bulk, functional PBEsol.

Calculated values
The raw formation energy comes out at 0.06 eV/atom. Its space-group type is No. 123.

Lattice parameters (Å, degrees): 3.5463 3.5463 4.0302 90.00 90.00 90.00
Closest atoms and distances in Å follow each position.
Atoms (fractional coordinates):
P  0.0000  0.0000  0.0000  4 N 1.77
Pb  0.5000  0.5000  0.5000  4 O 2.51, 8 N 2.68
N  0.0000  0.5000  0.0000  2 P 1.77
N  0.5000  0.0000  0.0000  2 P 1.77
O  0.0000  0.0000  0.5000  2 P 2.02

No. 8
A geometry-optimized SrHfSbI2 structure. Source: Alexandria via LeMat-Bulk, functional PBEsol.

Calculated values
The raw formation energy comes out at -0.52 eV/atom. Its space-group type is No. 123.

Lattice parameters (Å, degrees): 5.5629 5.5629 5.6314 90.00 90.00 90.00
Closest atoms and distances in Å follow each position.
Atoms (fractional coordinates):
Sr  0.0000  0.0000  0.0000  4 Sb 3.93, 8 I 3.96
Hf  0.5000  0.5000  0.5000  4 I 2.78, 2 Sb 2.82
Sb  0.5000  0.5000  0.0000  2 Hf 2.82
I  0.0000  0.5000  0.5000  2 Hf 2.78
I  0.5000  0.0000  0.5000  2 Hf 2.78

No. 9
A geometry-optimized Ti3ZnRe structure. Source: Alexandria via LeMat-Bulk, functional PBEsol.

Calculated values
Its formation energy is 0.745 eV/atom. Its space-group type is No. 221.

Lattice parameters (Å, degrees): 4.6946 4.6946 4.6946 90.00 90.00 90.00
Closest atoms and distances in Å follow each position.
Atoms (fractional coordinates):
Ti  0.0000  0.0000  0.5000  2 Re 2.35
Ti  0.0000  0.5000  0.0000  2 Re 2.35
Ti  0.5000  0.0000  0.0000  2 Re 2.35
Zn  0.5000  0.5000  0.5000  12 Ti 3.32
Re  0.0000  0.0000  0.0000  6 Ti 2.35

No. 10
A geometry-optimized Li2NiS structure. Source: Alexandria via LeMat-Bulk, functional PBEsol.

Calculated values
The raw formation energy comes out at -0.27 eV/atom. Its space-group type is No. 122.

Lattice parameters (Å, degrees): 8.6350 8.6350 8.6350 156.98 156.98 32.78
Closest atoms and distances in Å follow each position.
Atoms (fractional coordinates):
Li  0.1024  0.6250  0.9774  4 Li 2.33-2.55, 2 S 2.38, 2 Ni 2.43
Li  0.3750  0.3524  0.4774  4 Li 2.33-2.55, 2 S 2.38, 2 Ni 2.43
Li  0.6476  0.1250  0.0226  4 Li 2.33-2.55, 2 S 2.38, 2 Ni 2.43
Li  0.8750  0.8976  0.5226  4 Li 2.33-2.55, 2 S 2.38, 2 Ni 2.43
Ni  0.2500  0.7500  0.5000  4 Li 2.43, 4 S 2.44
Ni  0.5000  0.5000  0.0000  4 Li 2.43, 4 S 2.44
S  0.0000  0.0000  0.0000  4 Li 2.38, 4 Ni 2.44
S  0.7500  0.2500  0.5000  4 Li 2.38, 4 Ni 2.44

No. 11
A geometry-optimized NiAsRu2 structure. Source: Alexandria via LeMat-Bulk, functional PBEsol.

Calculated values
Its formation energy is 0.093 eV/atom. Its space-group type is No. 25.

Lattice parameters (Å, degrees): 2.7784 3.6001 5.2260 90.00 90.00 90.00
Closest atoms and distances in Å follow each position.
Atoms (fractional coordinates):
Ni  0.0000  0.0000  0.0000  6 Ru 2.53-2.69, 4 As 2.58, 2 Ni 2.78
As  0.5000  0.5000  0.7669  6 Ru 2.48-2.74, 4 Ni 2.58, 2 As 2.78
Ru  0.0000  0.0000  0.4845  2 Ni 2.53-2.69, 6 Ru 2.60-2.78, 4 As 2.71
Ru  0.5000  0.5000  0.2424  2 As 2.48-2.74, 6 Ru 2.60-2.78, 4 Ni 2.60

No. 12
A geometry-optimized K2ScMn structure. Source: Alexandria via LeMat-Bulk, functional PBEsol.

Calculated values
Its formation energy is 1.063 eV/atom. For the energy above the most stable polymorph in this dataset, the calculation gives 0 meV/atom. Its space-group type is No. 123.

Lattice parameters (Å, degrees): 3.2829 3.2829 12.1748 90.00 90.00 90.00
Closest atoms and distances in Å follow each position.
Atoms (fractional coordinates):
K  0.0000  0.0000  0.2287  4 K 3.28, 4 Mn 3.63
K  0.0000  0.0000  0.7713  4 K 3.28, 4 Mn 3.63
Sc  0.5000  0.5000  0.5000  4 Sc 3.28
Mn  0.5000  0.5000  0.0000  4 Mn 3.28, 8 K 3.63